(1)
A plane-wave DFT calculation with PBE-GGA was carried out for an optimized crystal structure of Nd2InSe.

Cell: 3.6072 3.6072 8.2906 Å, 90.00 90.00 90.00°
Element x y z (fractional)
Nd1 0.0000 0.0000 0.7715
Nd2 0.0000 0.0000 0.2285
Se1 0.5000 0.5000 0.0000
In1 0.5000 0.5000 0.5000

Values from the calculation:
Spin magnetization (μB/f.u.): 0.0
Symmetry: P4/mmm
ΔE_f (raw) (eV per atom): -1.001

(2)
A plane-wave DFT calculation with PBE-GGA was carried out for an optimized crystal structure of Al2Ni.

Cell: 5.0334 5.0334 6.4160 Å, 90.00 90.00 148.30°
Element x y z (fractional)
Al1 0.8091 0.1909 0.0948
Al2 0.1909 0.8091 0.5948
Al3 0.5445 0.4555 0.2690
Al4 0.4555 0.5445 0.7690
Ni1 0.8846 0.1154 0.4687
Ni2 0.1154 0.8846 0.9687

Values from the calculation:
Calculated formation energy (eV per atom): -0.374
Spin magnetization (μB/f.u.): 0.0
Symmetry: Cmc2_1

(3)
A plane-wave DFT calculation with PBE-GGA was carried out for an optimized crystal structure of CaDy2Os.

Cell: 3.9238 3.9238 10.7729 Å, 79.51 79.51 60.00°
Element x y z (fractional)
Ca1 0.0000 0.0000 0.0000
Os1 0.5000 0.5000 0.5000
Dy1 0.1181 0.1181 0.6457
Dy2 0.8819 0.8819 0.3543

Values from the calculation:
Calculated formation energy (eV per atom): 0.170
Spin magnetization (μB/f.u.): 0.0
Symmetry: R-3m

(4)
A plane-wave DFT calculation with PBE-GGA was carried out for an optimized crystal structure of PmNdErTl.

Cell: 5.5475 5.5475 5.5475 Å, 60.00 60.00 60.00°
Site moments in Bohr magnetons follow the coordinates.
Element x y z (fractional)
Tl1 0.7500 0.7500 0.7500  0.01
Pm1 0.2500 0.2500 0.2500  0.34
Nd1 0.5000 0.5000 0.5000  0.19
Er1 0.0000 0.0000 0.0000  0.30

Values from the calculation:
Calculated formation energy (eV per atom): -0.020
Spin magnetization (μB/f.u.): 1.3
Symmetry: F-43m

(5)
A plane-wave DFT calculation with PBE-GGA was carried out for an optimized crystal structure of Er2TlCd2.

Cell: 4.4298 7.6687 7.6687 Å, 90.00 90.00 90.00°
Element x y z (fractional)
Er1 0.5000 0.1678 0.6678
Er2 0.5000 0.6678 0.8322
Er3 0.5000 0.8322 0.3322
Er4 0.5000 0.3322 0.1678
Tl1 0.0000 0.0000 0.0000
Tl2 0.0000 0.5000 0.5000
Cd1 0.0000 0.6301 0.1301
Cd2 0.0000 0.1301 0.3699
Cd3 0.0000 0.3699 0.8699
Cd4 0.0000 0.8699 0.6301

Values from the calculation:
Calculated formation energy (eV per atom): -0.216
Spin magnetization (μB/f.u.): 0.0
Symmetry: P4/mbm

Q: What is the spin magnetization in the second record?
A: 0.0 μB/f.u.